# 1
ScP3Br | PBE | optimized geometry

Structure (POSCAR):
```
ScP3Br
1.0
4.757 0.000 0.000
0.000 4.757 0.000
0.000 0.000 4.757
Sc P Br
1 3 1
Direct
0.000 0.000 0.000 Sc
0.000 0.500 0.500 P
0.500 0.000 0.500 P
0.500 0.500 0.000 P
0.500 0.500 0.500 Br
```

Properties
energy relative to the lowest polymorph listed for this composition	0.307	eV per atom
DFT total energy	-3.97	eV per atom
space group	No. 221
formation energy without anion corrections	0.880	eV/atom

=====

# 2
ScP3Br | PBE | optimized geometry

Structure (POSCAR):
```
ScP3Br
1.0
4.986 0.000 0.000
0.000 4.986 0.000
0.000 0.000 4.986
Sc P Br
1 3 1
Direct
0.000 0.000 0.000 Sc
0.000 0.000 0.500 P
0.000 0.500 0.000 P
0.500 0.000 0.000 P
0.500 0.500 0.500 Br
```

Properties
energy relative to the lowest polymorph listed for this composition	0.000	eV per atom
DFT total energy	-4.27	eV per atom
space group	No. 221
formation energy without anion corrections	0.573	eV/atom